Record 1
The following is a DFT calculation (PBE) of an optimized crystal structure of Rb4Li.

Output
SG: Pm-3m, No. 221
Formation energy: 0.129 eV per atom
VASP energy: -1.028 eV/atom
M_tot: 0.00 μB per formula unit

```
Rb4Li
1.0
-2.755 0.904 -6.879
6.792 -1.159 -2.873
-1.416 -7.319 -0.395
Rb Li
4 1
direct
0.000 0.000 0.000
0.500 0.000 0.500
0.000 0.500 0.500
0.500 0.500 0.000
0.500 0.500 0.500
```

---

Record 2
The following is a DFT calculation (PBE) of an optimized crystal structure of RbLi3.

Output
SG: I4/mmm, No. 139
Formation energy: 0.242 eV per atom
VASP energy: -1.436 eV/atom
M_tot: 0.00 μB per formula unit

```
RbLi3
1.0
5.168 0.000 0.000
0.000 5.168 0.000
-2.584 -2.584 5.251
Rb Li
1 3
direct
0.000 0.000 0.000
0.750 0.250 0.500
0.250 0.750 0.500
0.500 0.500 0.000
```

---

Record 3
The following is a DFT calculation (PBE) of an optimized crystal structure of Rb2Li.

Output
SG: I4/mmm, No. 139
Formation energy: 0.143 eV per atom
VASP energy: -1.140 eV/atom
M_tot: 0.00 μB per formula unit
Polymorph energy (0 for the lowest one): 0 meV per atom

```
Rb2Li
1.0
4.799 0.000 0.000
0.000 4.799 0.000
-2.399 -2.399 8.473
Rb Li
2 1
direct
0.638 0.638 0.277
0.362 0.362 0.723
0.000 0.000 0.000
```

---

Record 4
The following is a DFT calculation (PBE) of an optimized crystal structure of Rb2Li.

Output
SG: Fd-3m, No. 227
Formation energy: 0.325 eV per atom
VASP energy: -0.958 eV/atom
M_tot: 0.00 μB per formula unit
Polymorph energy (0 for the lowest one): 181 meV per atom

```
Rb2Li
1.0
-2.351 -6.591 4.716
3.031 -7.692 -1.690
5.524 -3.608 5.261
Rb Li
4 2
direct
0.125 0.625 0.625
0.625 0.125 0.625
0.625 0.625 0.625
0.625 0.625 0.125
0.000 0.000 0.000
0.250 0.250 0.250
```

---

Record 5
The following is a DFT calculation (PBE) of an optimized crystal structure of RbLi3Re.

Output
SG: Pm-3m, No. 221
Formation energy: 1.784 eV per atom
VASP energy: -2.048 eV/atom
M_tot: 1.00 μB per formula unit
Polymorph energy (0 for the lowest one): 665 meV per atom

```
RbLi3Re
1.0
4.587 0.000 0.000
0.000 4.587 0.000
0.000 0.000 4.587
Re Rb Li
1 1 3
direct
0.500 0.500 0.500
0.000 0.000 0.000
0.000 0.500 0.000
0.000 0.000 0.500
0.500 0.000 0.000
```

---

Record 6
The following is a DFT calculation (PBE) of an optimized crystal structure of RbLi3Re.

Output
SG: Pm-3m, No. 221
Formation energy: 1.119 eV per atom
VASP energy: -2.712 eV/atom
M_tot: 2.79 μB per formula unit
Polymorph energy (0 for the lowest one): 0 meV per atom

```
RbLi3Re
1.0
-3.267 3.461 2.345
-4.168 -2.931 -1.482
0.328 -2.754 4.523
Re Rb Li
1 1 3
direct
0.000 0.000 0.000
0.500 0.500 0.500
0.000 0.500 0.000
0.000 0.000 0.500
0.500 0.000 0.000
```

---

Record 7
The following is a DFT calculation (PBE) of an optimized crystal structure of RbLiRe3.

Output
SG: Pm-3m, No. 221
Formation energy: 2.588 eV per atom
VASP energy: -5.457 eV/atom
M_tot: 0.00 μB per formula unit
Polymorph energy (0 for the lowest one): 0 meV per atom

```
RbLiRe3
1.0
4.471 0.000 0.000
0.000 4.471 0.000
0.000 0.000 4.471
Re Rb Li
3 1 1
direct
0.000 0.500 0.000
0.000 0.000 0.500
0.500 0.000 0.000
0.500 0.500 0.500
0.000 0.000 0.000
```

---

Record 8
The following is a DFT calculation (PBE) of an optimized crystal structure of RbLiRe3.

Output
SG: Pm-3m, No. 221
Formation energy: 3.985 eV per atom
VASP energy: -4.060 eV/atom
M_tot: 2.60 μB per formula unit
Polymorph energy (0 for the lowest one): 1397 meV per atom

```
RbLiRe3
1.0
4.745 0.000 0.000
0.000 4.745 0.000
0.000 0.000 4.745
Re Rb Li
3 1 1
direct
0.000 0.500 0.000
0.000 0.000 0.500
0.500 0.000 0.000
0.000 0.000 0.000
0.500 0.500 0.500
```

---

Record 9
The following is a DFT calculation (PBE) of an optimized crystal structure of RbLiRe2.

Output
SG: Fm-3m, No. 225
Formation energy: 2.538 eV per atom
VASP energy: -4.406 eV/atom
M_tot: 0.00 μB per formula unit
Polymorph energy (0 for the lowest one): 1165 meV per atom

```
RbLiRe2
1.0
-1.528 -4.344 0.018
-0.480 -2.255 3.986
-4.206 -0.955 1.613
Re Rb Li
2 1 1
direct
0.250 0.250 0.250
0.750 0.750 0.750
0.500 0.500 0.500
0.000 0.000 0.000
```

---

Record 10
The following is a DFT calculation (PBE) of an optimized crystal structure of RbLiRe2.

Output
SG: I-42d, No. 122
Formation energy: 1.374 eV per atom
VASP energy: -5.571 eV/atom
M_tot: 0.00 μB per formula unit
Polymorph energy (0 for the lowest one): 0 meV per atom

```
RbLiRe2
1.0
-0.100 -3.601 -1.122
3.155 0.535 -1.999
7.801 -4.542 7.535
Re Rb Li
4 2 2
direct
0.580 0.125 0.250
0.170 0.625 0.250
0.375 0.420 0.750
0.875 0.830 0.750
0.000 0.000 0.000
0.750 0.250 0.500
0.500 0.500 0.000
0.250 0.750 0.500
```

---

Record 11
The following is a DFT calculation (PBE) of an optimized crystal structure of RbLiReS4.

Output
SG: P2_1/m, No. 11
VASP energy: -5.253 eV/atom
M_tot: 0.92 μB per formula unit

```
RbLiReS4
1.0
5.960 0.000 -0.240
0.000 7.450 0.000
-2.647 0.000 9.199
Rb Li Re S
2 2 2 8
direct
0.690 0.750 0.874
0.310 0.250 0.126
0.674 0.750 0.317
0.326 0.250 0.683
0.158 0.750 0.287
0.842 0.250 0.713
0.064 0.487 0.725
0.936 0.987 0.275
0.936 0.513 0.275
0.064 0.013 0.725
0.305 0.750 0.102
0.695 0.250 0.898
0.451 0.750 0.491
0.549 0.250 0.509
```

---

Record 12
The following is a DFT calculation (PBE) of an optimized crystal structure of RbLiReS2.

Output
SG: P4/mmm, No. 123
VASP energy: -3.797 eV/atom
M_tot: 4.26 μB per formula unit

```
RbLiReS2
1.0
-2.778 -2.666 3.086
3.830 -1.976 1.741
0.313 3.583 3.378
Re S Rb Li
1 2 1 1
direct
0.000 0.500 0.000
0.000 0.000 0.500
0.500 0.000 0.000
0.500 0.500 0.500
0.000 0.000 0.000
```

---

Record 13
The following is a DFT calculation (PBE) of an optimized crystal structure of RbLi2ScRe.

Output
SG: P4/mmm, No. 123
Formation energy: 0.840 eV per atom
VASP energy: -3.875 eV/atom
M_tot: 0.91 μB per formula unit

```
RbLi2ScRe
1.0
5.426 0.000 0.000
0.000 4.848 0.000
0.000 0.000 5.426
Sc Re Rb Li
1 1 1 2
direct
0.000 0.500 0.000
0.000 0.000 0.000
0.500 0.500 0.500
0.000 0.000 0.500
0.500 0.000 0.000
```

---

Record 14
The following is a DFT calculation (PBE) of an optimized crystal structure of RbLiZr2Re.

Output
SG: P4/mmm, No. 123
Formation energy: 1.526 eV per atom
VASP energy: -4.959 eV/atom
M_tot: 0.00 μB per formula unit

```
RbLiZr2Re
1.0
5.029 0.000 0.000
0.000 4.436 0.000
0.000 0.000 5.029
Re Rb Zr Li
1 1 2 1
direct
0.000 0.500 0.000
0.500 0.500 0.500
0.000 0.000 0.500
0.500 0.000 0.000
0.000 0.000 0.000
```

---

Record 15
The following is a DFT calculation (PBE) of an optimized crystal structure of RbLiRh2.

Output
SG: Fm-3m, No. 225
Formation energy: 0.979 eV per atom
VASP energy: -3.417 eV/atom
M_tot: 0.13 μB per formula unit
Polymorph energy (0 for the lowest one): 323 meV per atom

```
RbLiRh2
1.0
0.000 3.350 3.350
3.350 0.000 3.350
3.350 3.350 0.000
Rh Rb Li
2 1 1
direct
0.250 0.250 0.250
0.750 0.750 0.750
0.500 0.500 0.500
0.000 0.000 0.000
```

---

Record 16
The following is a DFT calculation (PBE) of an optimized crystal structure of RbLi2Rh.

Output
SG: Fm-3m, No. 225
Formation energy: 0.428 eV per atom
VASP energy: -2.609 eV/atom
M_tot: 0.00 μB per formula unit

```
RbLi2Rh
1.0
0.000 3.477 3.477
3.477 0.000 3.477
3.477 3.477 0.000
Rh Rb Li
1 1 2
direct
0.500 0.500 0.500
0.000 0.000 0.000
0.250 0.250 0.250
0.750 0.750 0.750
```

---

Record 17
The following is a DFT calculation (PBE) of an optimized crystal structure of Rb2LiRh.

Output
SG: I-42d, No. 122
Formation energy: 0.814 eV per atom
VASP energy: -1.986 eV/atom
M_tot: 0.00 μB per formula unit

```
Rb2LiRh
1.0
4.756 0.000 0.000
0.000 4.756 0.000
2.378 2.378 11.165
Rh Rb Li
2 4 2
direct
0.000 0.000 0.000
0.750 0.250 0.500
0.631 0.125 0.250
0.119 0.625 0.250
0.375 0.369 0.750
0.875 0.881 0.750
0.500 0.500 0.000
0.250 0.750 0.500
```

---

Record 18
The following is a DFT calculation (PBE) of an optimized crystal structure of RbLi2Rh.

Output
SG: I4_1/amd, No. 141
Formation energy: 0.444 eV per atom
VASP energy: -2.593 eV/atom
M_tot: 0.00 μB per formula unit

```
RbLi2Rh
1.0
-3.221 0.669 4.443
1.452 -5.018 1.808
5.127 0.964 7.011
Rh Rb Li
2 2 4
direct
0.000 0.000 0.000
0.750 0.250 0.500
0.500 0.500 0.000
0.250 0.750 0.500
0.876 0.125 0.250
0.874 0.625 0.250
0.375 0.124 0.750
0.875 0.126 0.750
```

---

Record 19
The following is a DFT calculation (PBE) of an optimized crystal structure of Rb3LiRh.

Output
SG: Pm-3m, No. 221
Formation energy: 0.587 eV per atom
VASP energy: -1.847 eV/atom
M_tot: 0.96 μB per formula unit

```
Rb3LiRh
1.0
6.402 0.000 0.000
0.000 6.402 0.000
0.000 0.000 6.402
Rh Rb Li
1 3 1
direct
0.000 0.000 0.000
0.000 0.500 0.000
0.000 0.000 0.500
0.500 0.000 0.000
0.500 0.500 0.500
```

---

Record 20
The following is a DFT calculation (PBE) of an optimized crystal structure of RbLiRh2.

Output
SG: I-42d, No. 122
Formation energy: 0.657 eV per atom
VASP energy: -3.739 eV/atom
M_tot: 0.00 μB per formula unit
Polymorph energy (0 for the lowest one): 0 meV per atom

```
RbLiRh2
1.0
4.761 0.000 0.000
0.000 4.761 0.000
2.381 2.381 9.309
Rh Rb Li
4 2 2
direct
0.349 0.125 0.250
0.401 0.625 0.250
0.375 0.651 0.750
0.875 0.599 0.750
0.000 0.000 0.000
0.750 0.250 0.500
0.500 0.500 0.000
0.250 0.750 0.500
```